Model 1:
{"formula": "CaYF2", "functional": "GGA-PBE", "state": "relaxed", "spacegroup": "No. 166", "m_tot_mub_per_cell": 1.0, "dos_ef_per_ev_cell": 3.873, "lattice": [[-5.3951, -2.0890, -3.3072], [-3.4212, -5.2464, -2.2760], [-5.6878, -3.4601, 0.2932]], "species": ["Ca", "F", "F", "Y"], "fractional_positions": [[0.5000, 0.5000, 0.5000], [0.8773, 0.8773, 0.8773], [0.1227, 0.1227, 0.1227], [0.0000, 0.0000, 0.0000]]}


Model 2:
{"formula": "CaYF2", "functional": "GGA-PBE", "state": "relaxed", "spacegroup": "No. 225", "m_tot_mub_per_cell": 2.5, "dos_ef_per_ev_cell": 2.918, "lattice": [[0.8179, -0.3252, 4.6317], [-3.0599, 1.8545, 3.0701], [-2.6647, -2.8266, 2.6716]], "species": ["F", "Y", "Ca", "F"], "fractional_positions": [[0.7500, 0.7500, 0.7500], [0.5000, 0.5000, 0.5000], [0.0000, 0.0000, 0.0000], [0.2500, 0.2500, 0.2500]]}


Most favorable structure: model 1. The second most favorable one is 104.6 kJ/mol of atoms above it.


Model 1:
{"formula": "Ca3YF", "functional": "GGA-PBE", "state": "relaxed", "spacegroup": "No. 221", "m_tot_mub_per_cell": 1.2, "dos_ef_per_ev_cell": 7.448, "lattice": [[-1.5521, -4.3668, -2.5781], [3.0613, 1.3425, -4.1171], [4.0427, -2.6932, 2.1278]], "species": ["Y", "Ca", "Ca", "F", "Ca"], "fractional_positions": [[0.5000, 0.5000, 0.5000], [0.5000, 0.0000, 0.0000], [0.0000, 0.0000, 0.5000], [0.0000, 0.0000, 0.0000], [0.0000, 0.5000, 0.0000]]}


Model 2:
{"formula": "Ca3YF", "functional": "GGA-PBE", "state": "relaxed", "spacegroup": "No. 221", "m_tot_mub_per_cell": 4.6, "dos_ef_per_ev_cell": 6.695, "lattice": [[-4.8659, 0.8203, -3.9313], [-3.9727, -1.8875, 4.5233], [-0.5880, 5.9641, 1.9722]], "species": ["F", "Y", "Ca", "Ca", "Ca"], "fractional_positions": [[0.5000, 0.5000, 0.5000], [0.0000, 0.0000, 0.0000], [0.0000, 0.5000, 0.0000], [0.0000, 0.0000, 0.5000], [0.5000, 0.0000, 0.0000]]}


Most favorable structure: model 1. The second most favorable one is 134.4 kJ/mol of atoms above it.


Model 1:
{"formula": "CaZn2F", "functional": "GGA-PBE", "state": "relaxed", "spacegroup": "No. 225", "m_tot_mub_per_cell": 0.0, "dos_ef_per_ev_cell": 1.983, "lattice": [[0.0000, 3.4809, 3.4809], [3.4809, 0.0000, 3.4809], [3.4809, 3.4809, 0.0000]], "species": ["F", "Ca", "Zn", "Zn"], "fractional_positions": [[0.0000, 0.0000, 0.0000], [0.5000, 0.5000, 0.5000], [0.2500, 0.2500, 0.2500], [0.7500, 0.7500, 0.7500]]}


Model 2:
{"formula": "CaZn2F", "functional": "GGA-PBE", "state": "relaxed", "spacegroup": "No. 122", "m_tot_mub_per_cell": 0.0, "dos_ef_per_ev_cell": 3.638, "lattice": [[-5.7404, 4.1397, -4.9778], [-5.2856, 0.8452, 6.7983], [-4.5262, 4.4855, 1.4297]], "species": ["Zn", "Zn", "Zn", "F", "Ca", "Zn", "Ca", "F"], "fractional_positions": [[0.8750, 0.8330, 0.7500], [0.3750, 0.4170, 0.7500], [0.1670, 0.6250, 0.2500], [0.2500, 0.7500, 0.5000], [0.7500, 0.2500, 0.5000], [0.5830, 0.1250, 0.2500], [0.0000, 0.0000, 0.0000], [0.5000, 0.5000, 0.0000]]}


Most favorable structure: model 2. The second most favorable one is 54.9 kJ/mol of atoms above it.


Model 1:
{"formula": "Ca3ZrF", "functional": "GGA-PBE", "state": "relaxed", "spacegroup": "No. 221", "m_tot_mub_per_cell": 3.2, "dos_ef_per_ev_cell": 6.972, "lattice": [[6.1441, 0.0000, 0.0000], [0.0000, 6.1441, 0.0000], [0.0000, 0.0000, 6.1441]], "species": ["Ca", "Ca", "Ca", "Zr", "F"], "fractional_positions": [[0.0000, 0.5000, 0.0000], [0.5000, 0.0000, 0.0000], [0.0000, 0.0000, 0.5000], [0.0000, 0.0000, 0.0000], [0.5000, 0.5000, 0.5000]]}


Model 2:
{"formula": "Ca3ZrF", "functional": "GGA-PBE", "state": "relaxed", "spacegroup": "No. 221", "m_tot_mub_per_cell": 2.8, "dos_ef_per_ev_cell": 6.897, "lattice": [[-3.3169, -1.9886, -3.3509], [-2.0731, -2.8255, 3.7288], [-3.2993, 3.7746, 1.0258]], "species": ["Ca", "Ca", "F", "Zr", "Ca"], "fractional_positions": [[0.5000, 0.0000, 0.0000], [0.0000, 0.0000, 0.5000], [0.0000, 0.0000, 0.0000], [0.5000, 0.5000, 0.5000], [0.0000, 0.5000, 0.0000]]}


Most favorable structure: model 2. The second most favorable one is 120.0 kJ/mol of atoms above it.


Model 1:
{"formula": "Ca2ZrF8", "functional": "GGA-PBE", "state": "relaxed", "spacegroup": "No. 164", "m_tot_mub_per_cell": 0.2, "dos_ef_per_ev_cell": 0.000, "lattice": [[4.4704, 0.0002, 0.0000], [-0.0005, 5.9693, -3.4455], [0.0005, -0.0023, 6.8911]], "species": ["Ca", "F", "F", "F", "F", "Zr", "F", "F", "F", "Ca", "F"], "fractional_positions": [[0.7322, 0.6666, 0.3332], [0.2454, 0.1439, 0.2889], [0.7546, 0.2889, 0.1450], [0.2454, 0.1450, 0.8561], [0.2454, 0.7111, 0.8550], [0.0000, 0.0000, 0.0000], [0.7546, 0.8560, 0.7111], [0.7655, 0.3334, 0.6668], [0.7546, 0.8551, 0.1439], [0.2678, 0.3334, 0.6667], [0.2345, 0.6666, 0.3332]]}


Model 2:
{"formula": "Ca2ZrF8", "functional": "GGA-PBE", "state": "relaxed", "spacegroup": "No. 12", "m_tot_mub_per_cell": 0.1, "dos_ef_per_ev_cell": 0.000, "lattice": [[3.7690, 0.0000, 0.0000], [0.0000, 5.1842, 0.1016], [-1.8845, -2.1059, 7.1351]], "species": ["Ca", "F", "F", "Zr", "F", "F", "F", "Ca", "F", "F", "F"], "fractional_positions": [[0.8248, 0.3318, 0.6497], [0.9777, 0.2002, 0.9553], [0.4112, 0.6147, 0.8224], [0.5000, 0.0000, 0.0000], [0.6323, 0.9266, 0.2645], [0.7701, 0.7066, 0.5401], [0.3677, 0.0734, 0.7355], [0.1752, 0.6682, 0.3503], [0.2299, 0.2934, 0.4599], [0.5888, 0.3853, 0.1776], [0.0223, 0.7998, 0.0447]]}


Most favorable structure: model 2. The second most favorable one is 1.7 kJ/mol of atoms above it.


Model 1:
{"formula": "CaZr3F", "functional": "GGA-PBE", "state": "relaxed", "spacegroup": "No. 221", "m_tot_mub_per_cell": 0.0, "dos_ef_per_ev_cell": 7.988, "lattice": [[-3.3026, -0.7169, -3.9470], [-3.3430, -2.3343, 3.2211], [-2.2176, 4.5866, 1.0224]], "species": ["F", "Ca", "Zr", "Zr", "Zr"], "fractional_positions": [[0.5000, 0.5000, 0.5000], [0.0000, 0.0000, 0.0000], [0.0000, 0.5000, 0.0000], [0.0000, 0.0000, 0.5000], [0.5000, 0.0000, 0.0000]]}


Model 2:
{"formula": "CaZr3F", "functional": "GGA-PBE", "state": "relaxed", "spacegroup": "No. 221", "m_tot_mub_per_cell": 0.0, "dos_ef_per_ev_cell": 8.609, "lattice": [[-1.5923, -4.3632, 1.0275], [1.7078, -1.5987, -4.1420], [4.1445, -1.0176, 2.1015]], "species": ["F", "Zr", "Zr", "Ca", "Zr"], "fractional_positions": [[0.0000, 0.0000, 0.0000], [0.5000, 0.0000, 0.0000], [0.0000, 0.0000, 0.5000], [0.5000, 0.5000, 0.5000], [0.0000, 0.5000, 0.0000]]}


Most favorable structure: model 2. The second most favorable one is 187.8 kJ/mol of atoms above it.


Model 1:
{"formula": "Ca5Fe", "functional": "GGA-PBE", "state": "relaxed", "spacegroup": "No. 38", "m_tot_mub_per_cell": 2.5, "dos_ef_per_ev_cell": 9.028, "lattice": [[1.9168, -9.2509, 0.0000], [1.9168, 9.2509, 0.0000], [0.0000, 0.0000, 5.9040]], "species": ["Fe", "Ca", "Ca", "Ca", "Ca", "Ca"], "fractional_positions": [[0.1141, 0.8859, 0.5000], [0.0008, 0.9992, 0.0000], [0.6534, 0.3466, 0.0000], [0.7576, 0.2424, 0.5000], [0.4771, 0.5229, 0.5000], [0.3304, 0.6696, 0.0000]]}


Model 2:
{"formula": "Ca5Fe", "functional": "GGA-PBE", "state": "relaxed", "spacegroup": "No. 65", "m_tot_mub_per_cell": 2.3, "dos_ef_per_ev_cell": 10.265, "lattice": [[2.5110, -7.5514, 0.0000], [2.5110, 7.5514, 0.0000], [0.0000, 0.0000, 5.4144]], "species": ["Ca", "Ca", "Ca", "Ca", "Ca", "Fe"], "fractional_positions": [[0.6583, 0.3417, 0.5000], [0.1466, 0.8534, 0.0000], [0.0000, 0.0000, 0.5000], [0.3417, 0.6583, 0.5000], [0.8534, 0.1466, 0.0000], [0.5000, 0.5000, 0.0000]]}


Model 3:
{"formula": "Ca5Fe", "functional": "GGA-PBE", "state": "relaxed", "spacegroup": "No. 191", "m_tot_mub_per_cell": 3.1, "dos_ef_per_ev_cell": 13.599, "lattice": [[3.3893, -5.8704, 0.0000], [3.3893, 5.8704, 0.0000], [0.0000, 0.0000, 6.3592]], "species": ["Ca", "Ca", "Ca", "Ca", "Ca", "Fe"], "fractional_positions": [[0.5000, 0.5000, 0.5000], [0.0000, 0.5000, 0.5000], [0.6667, 0.3333, 0.0000], [0.5000, 0.0000, 0.5000], [0.3333, 0.6667, 0.0000], [0.0000, 0.0000, 0.0000]]}


Most favorable structure: model 2. The second most favorable one is 1.4 kJ/mol of atoms above it.


Model 1:
{"formula": "CaFe2H8", "functional": "GGA-PBE", "state": "relaxed", "spacegroup": "No. 23", "m_tot_mub_per_cell": 0.0, "dos_ef_per_ev_cell": 1.186, "lattice": [[3.2269, 0.0000, -1.0308], [-0.5832, 4.0729, -1.8256], [-0.0790, -0.1146, 5.3188]], "species": ["H", "H", "H", "Ca", "H", "H", "H", "Fe", "Fe", "H", "H"], "fractional_positions": [[0.8857, 0.3857, 0.7713], [0.5000, 0.6955, 0.0000], [0.5000, 0.3045, 0.0000], [0.0000, 0.0000, 0.0000], [0.9449, 0.0303, 0.4265], [0.0551, 0.6038, 0.5735], [0.5184, 0.9697, 0.5735], [0.6597, 0.6597, 0.3193], [0.3403, 0.3403, 0.6807], [0.4816, 0.3962, 0.4265], [0.1143, 0.6143, 0.2287]]}


Model 2:
{"formula": "CaFe2H8", "functional": "GGA-PBE", "state": "relaxed", "spacegroup": "No. 12", "m_tot_mub_per_cell": 1.6, "dos_ef_per_ev_cell": 3.930, "lattice": [[3.4609, 0.1933, 0.2901], [-0.2901, 4.7473, -0.1396], [-0.2901, -1.9572, 4.3273]], "species": ["H", "H", "H", "H", "H", "H", "Fe", "H", "H", "Fe", "Ca"], "fractional_positions": [[0.5000, 0.3036, 0.6964], [0.2319, 0.5266, 0.5266], [0.7681, 0.4734, 0.4734], [0.9955, 0.6719, 0.9707], [0.0045, 0.3281, 0.0293], [0.0045, 0.0293, 0.3281], [0.0000, 0.6776, 0.3224], [0.5000, 0.6964, 0.3036], [0.9955, 0.9707, 0.6719], [0.0000, 0.3224, 0.6776], [0.5000, 0.0000, 0.0000]]}


Most favorable structure: model 2. The second most favorable one is 14.7 kJ/mol of atoms above it.